Run i
# Ba6LiNb2IrCl2O12

A geometry-optimized Ba6LiNb2IrCl2O12 structure (GGA-PBE, Alexandria via LeMat-Bulk).

```
Ba6LiNb2IrCl2O12
1.0
5.5777 -2.9391 0.0000
5.5777 2.9391 0.0000
-0.9741 0.0000 15.0024
Ba Li Nb Ir Cl O
6 1 2 1 2 12
Direct
0.0000 0.0000 0.0000 Ba
0.0132 0.0132 0.7147 Ba
0.3103 0.3103 0.5846 Ba
0.3460 0.3460 0.8464 Ba
0.3657 0.3657 0.2655 Ba
0.9579 0.9579 0.4448 Ba
0.1732 0.1732 0.3719 Li
0.6563 0.6563 0.8279 Nb
0.6645 0.6645 0.4570 Nb
0.6619 0.6619 0.6377 Ir
0.0327 0.0327 0.2336 Cl
0.3674 0.3674 0.0601 Cl
0.3217 0.8073 0.8767 O
0.3561 0.8481 0.5451 O
0.4901 0.9597 0.7320 O
0.5092 0.5092 0.7129 O
0.5170 0.5170 0.3876 O
0.5165 0.9937 0.3937 O
0.8024 0.8024 0.9007 O
0.8073 0.3217 0.8767 O
0.8170 0.8170 0.5663 O
0.8481 0.3561 0.5451 O
0.9597 0.4901 0.7320 O
0.9937 0.5165 0.3937 O
```

Calculated values
- space-group type = Cm, No. 8

Run ii
# Ba6LiNb2IrCl2O12

A geometry-optimized Ba6LiNb2IrCl2O12 structure (GGA-PBE, Alexandria via LeMat-Bulk).

```
Ba6LiNb2IrCl2O12
1.0
5.4404 -2.9241 0.0000
5.4404 2.9241 0.0000
-0.9963 0.0000 15.2328
Ba Li Nb Ir Cl O
6 1 2 1 2 12
Direct
0.0000 0.0000 0.0000 Ba
0.0099 0.0099 0.5814 Ba
0.0371 0.0371 0.2521 Ba
0.6293 0.6293 0.4306 Ba
0.6485 0.6485 0.8511 Ba
0.6931 0.6931 0.1317 Ba
0.8668 0.8668 0.3813 Li
0.3197 0.3197 0.3975 Nb
0.3363 0.3363 0.0283 Nb
0.3358 0.3358 0.2155 Ir
0.0013 0.0013 0.7919 Cl
0.6526 0.6526 0.6389 Cl
0.0044 0.5047 0.9696 O
0.0173 0.5087 0.3016 O
0.1589 0.6534 0.4618 O
0.1648 0.1648 0.4505 O
0.1757 0.6436 0.1302 O
0.1836 0.1836 0.1216 O
0.4823 0.4823 0.3049 O
0.4909 0.4909 0.9733 O
0.5047 0.0044 0.9696 O
0.5087 0.0173 0.3016 O
0.6436 0.1757 0.1302 O
0.6534 0.1589 0.4618 O
```

Calculated values
- space-group type = Cm, No. 8

Run iii
# Ba6LiNb2IrCl2O12

A geometry-optimized Ba6LiNb2IrCl2O12 structure (GGA-PBE, Alexandria via LeMat-Bulk).

```
Ba6LiNb2IrCl2O12
1.0
6.0607 0.0000 0.0000
-3.0303 5.2487 0.0000
0.0000 0.0000 15.1255
Ba Li Nb Ir Cl O
6 1 2 1 2 12
Direct
0.3333 0.6667 0.0673 Ba
0.3333 0.6667 0.3559 Ba
0.3333 0.6667 0.7947 Ba
0.6667 0.3333 0.2053 Ba
0.6667 0.3333 0.6441 Ba
0.6667 0.3333 0.9327 Ba
0.0000 0.0000 0.5000 Li
0.0000 0.0000 0.1826 Nb
0.0000 0.0000 0.8174 Nb
0.0000 0.0000 0.0000 Ir
0.3333 0.6667 0.5718 Cl
0.6667 0.3333 0.4282 Cl
0.1549 0.3098 0.9165 O
0.1549 0.8451 0.9165 O
0.1605 0.3211 0.2426 O
0.1605 0.8395 0.2426 O
0.3098 0.1549 0.0835 O
0.3211 0.1605 0.7574 O
0.6789 0.8395 0.2426 O
0.6902 0.8451 0.9165 O
0.8395 0.1605 0.7574 O
0.8395 0.6789 0.7574 O
0.8451 0.1549 0.0835 O
0.8451 0.6902 0.0835 O
```

Calculated values
- D(E_F) (states/eV/f.u.) = 8.09
- space-group type = P-3m1, No. 164

Stability check: which of them is least stable? run iii.